# 1
5
Lattice="5.889 0.000 0.000 0.000 5.889 0.000 0.000 0.000 5.889" Properties=species:S:1:pos:R:3 comment="PBE BaAg3Ir, optimized geometry" final_energy_ev_per_cell=-9.18 e_above_lowest_polymorph_mev_per_atom=1716 formation_enthalpy_0k_ev_per_atom=2.0308 sg="Pm-3m, No. 221" magnetic_moment_mub_per_fu=2.2 pbc="T T T"
Ba 0.000 0.000 0.000
Ag 0.000 0.000 2.945
Ag 0.000 2.945 0.000
Ag 2.945 0.000 0.000
Ir 2.945 2.945 2.945


# 2
3
Lattice="-1.913 1.913 6.153 1.913 -1.913 6.153 1.913 1.913 -6.153" Properties=species:S:1:pos:R:3 comment="PBE SrCdIn, optimized geometry" final_energy_ev_per_cell=-6.20 formation_enthalpy_0k_ev_per_atom=-0.2869 sg="I4mm, No. 107" magnetic_moment_mub_per_fu=0.0 pbc="T T T"
Sr 0.000 0.000 0.000
Cd 0.000 0.000 8.352
In 0.000 0.000 3.836


# 3
12
Lattice="4.893 0.000 0.000 0.000 7.436 0.000 -2.388 0.000 7.174" Properties=species:S:1:pos:R:3 comment="PBE Mg5CdHg6, optimized geometry" final_energy_ev_per_cell=-12.88 e_above_lowest_polymorph_mev_per_atom=0 formation_enthalpy_0k_ev_per_atom=-0.1821 sg="P2/m, No. 10" magnetic_moment_mub_per_fu=0.0 pbc="T T T"
Mg 0.000 0.000 0.000
Mg 0.035 0.000 4.797
Mg 0.036 3.718 4.821
Mg 2.469 3.718 2.353
Mg 2.470 0.000 2.377
Cd 0.000 3.718 0.000
Hg 0.025 1.831 2.444
Hg 0.025 5.605 2.444
Hg 2.446 1.785 0.000
Hg 2.446 5.650 0.000
Hg 2.479 1.831 4.730
Hg 2.479 5.605 4.730


# 4
18
Lattice="8.628 -4.562 0.000 8.628 4.562 0.000 0.000 0.000 7.134" Properties=species:S:1:pos:R:3 comment="PBE Tb3HoTm5, optimized geometry" final_energy_ev_per_cell=-79.27 e_above_lowest_polymorph_mev_per_atom=0 formation_enthalpy_0k_ev_per_atom=0.1323 sg="Cmcm, No. 63" magnetic_moment_mub_per_fu=0.0 pbc="T T T"
Tb 0.000 0.000 0.000
Tb 0.000 0.000 3.567
Tb 3.303 0.006 1.784
Tb 3.303 -0.006 5.351
Tb 13.953 0.006 1.784
Tb 13.953 -0.006 5.351
Ho 8.628 1.802 5.351
Ho 8.628 -1.802 1.784
Tm 5.852 1.667 3.573
Tm 5.852 1.667 7.128
Tm 8.628 1.446 1.784
Tm 11.404 1.667 3.573
Tm 11.404 1.667 7.128
Tm 5.852 -1.667 0.006
Tm 5.852 -1.667 3.561
Tm 8.628 -1.446 5.351
Tm 11.404 -1.667 0.006
Tm 11.404 -1.667 3.561


# 5
4
Lattice="0.000 3.605 3.605 3.605 0.000 3.605 3.605 3.605 0.000" Properties=species:S:1:pos:R:3 comment="PBE BeInSb2, optimized geometry" final_energy_ev_per_cell=-12.52 e_above_lowest_polymorph_mev_per_atom=455 formation_energy_uncorrected_ev_per_atom=0.55 sg="Fm-3m, No. 225" magnetic_moment_mub_per_fu=0.0 pbc="T T T"
Be 0.000 0.000 0.000
In 3.605 3.605 3.605
Sb 1.802 1.802 1.802
Sb 5.407 5.407 5.407


# 6
20
Lattice="4.950 2.858 3.767 -4.950 2.858 3.767 0.000 -5.716 3.767" Properties=species:S:1:pos:R:3 comment="PBE Tb3PbO6, optimized geometry" final_energy_ev_per_cell=-152.36 formation_energy_uncorrected_ev_per_atom=-2.88 sg="R-3, No. 148" magnetic_moment_mub_per_fu=0.0 pbc="T T T"
Tb -2.517 -2.502 5.192
Tb -3.426 0.929 6.109
Tb 0.908 -3.431 6.109
Tb -0.908 3.431 5.192
Tb 3.426 -0.929 5.192
Tb 2.517 2.502 6.109
Pb 0.000 0.000 0.000
Pb 0.000 0.000 5.651
O -4.344 -1.282 6.105
O -1.062 -4.403 5.196
O -2.265 -0.254 4.561
O -3.282 3.121 5.196
O -0.913 -2.089 6.741
O 1.352 -1.835 4.561
O -1.352 1.835 6.741
O 0.913 2.089 4.561
O 3.282 -3.121 6.105
O 2.265 0.254 6.741
O 1.062 4.403 6.105
O 4.344 1.282 5.196